The following is a DFT calculation (PBE) of a geometry-optimized Nd2ErHfAs4 structure.

Structure (extended XYZ):
```
8
Lattice="-1.210 1.299 3.691 3.275 -5.525 3.019 4.538 5.466 -0.436" Properties=species:S:1:pos:R:3 pbc="T T T"
Er 1.033 -2.113 3.355
As 4.299 2.832 0.413
As 5.412 0.647 3.819
As 3.514 -2.892 2.170
As 1.192 0.592 2.455
Hf 0.000 0.000 0.000
Nd 3.907 -0.030 1.291
Nd 1.664 3.382 1.627
```

Values from the calculation:
Energy of formation: -1.38 eV per atom
Fermi-level density of states: 1.43 states/eV/f.u.
Space-group type: P2/m (10)